Material: Ag6PtAu8
Method: DFT, PBE-GGA
State: relaxed

Cell and atoms, written as POSCAR:
```
Ag6PtAu8
1.0
3.656 2.111 5.901
-3.656 2.111 5.901
0.000 -4.222 5.901
Ag Pt Au
6 1 8
direct
0.039 0.771 0.568
0.229 0.432 0.961
0.432 0.961 0.229
0.568 0.039 0.771
0.771 0.568 0.039
0.961 0.229 0.432
0.500 0.500 0.500
0.080 0.080 0.080
0.170 0.313 0.619
0.313 0.619 0.170
0.381 0.830 0.687
0.619 0.170 0.313
0.687 0.381 0.830
0.830 0.687 0.381
0.920 0.920 0.920
```

Offset from the most stable computed form = 0 meV/atom
Calculated volume = 273.26 Å³/cell
DOS at the Fermi energy = 6.5 states/eV per cell
ρ = 14.7 Mg/m³
ΔE_f = 34 kJ/mol of formula units
Final energy = -3.268 eV/atom